The following is a DFT calculation (PBE-GGA) of Mg2CuBi after structural relaxation.

```
data_Mg2CuBi
_chemical_formula_sum 'Mg2 Cu1 Bi1'
_symmetry_space_group_name_H-M 'P 1'
_symmetry_Int_Tables_number 1
_cell_length_a 3.331
_cell_length_b 3.331
_cell_length_c 7.738
_cell_angle_alpha 90.00
_cell_angle_beta 90.00
_cell_angle_gamma 90.00
loop_
_symmetry_equiv_pos_as_xyz
'x,y,z'
loop_
_atom_site_label
_atom_site_type_symbol
_atom_site_fract_x
_atom_site_fract_y
_atom_site_fract_z
Mg1 Mg 0.000 0.000 0.811
Mg2 Mg 0.000 0.000 0.189
Bi1 Bi 0.500 0.500 0.500
Cu1 Cu 0.500 0.500 0.000
```

Output
The size of the total moment comes out at 0.00 Bohr magnetons per cell. The formation energy is -23.6 kJ/mol of formula units.